Crystalline Sc2AsSe at its relaxed geometry. Source: Alexandria via LeMat-Bulk, functional PBEsol.

Computed properties:
raw formation energy = -449 kJ/mol of formula units
total magnetization = 0.6 μB/f.u.
energy above the lowest structure with this stoichiometry = 432 meV per atom

Geometry as POSCAR:
```
Sc2AsSe
1.0
4.733 0.000 0.000
2.367 4.099 0.000
2.367 1.366 3.865
As Sc Se
1 2 1
Direct
0.000 0.000 0.000
0.250 0.250 0.250
0.750 0.750 0.750
0.500 0.500 0.500
```